Crystalline HfPSeS2 at its relaxed geometry, computed with PBE.

Lattice parameters (Å, degrees): 4.591 4.591 4.787 90.00 90.00 90.00
Space group P4/mmm (No. 123)
Symmetry-distinct sites (fractional):
Hf 0.000 0.000 0.000 [1 per cell]
P 0.500 0.500 0.000 [1 per cell]
Se 0.500 0.500 0.500 [1 per cell]
S 0.000 0.500 0.500 [2 per cell]

Output
- Energy: -24.53 eV/f.u.
- Energy above the most stable polymorph in this dataset: 433 meV/atom
- Magnetization: 0.00 μB per formula unit
- Crystal system: tetragonal
- Formation energy without anion corrections: 515 meV per atom
- Theoretical density: 5.8 g/cm³